The following is a DFT calculation (GGA-PBE) of crystalline Sr8CuAg2 at its relaxed geometry.

Geometry as POSCAR:
```
Sr8CuAg2
1.0
4.8437 -7.2713 0.0000
4.8437 7.2713 0.0000
-2.3765 0.0000 6.5823
Sr Cu Ag
8 1 2
Cartesian
0.0000 0.0000 0.0000
0.0741 1.9073 3.7321
3.0031 2.9563 1.1704
0.0741 -1.9073 3.7321
3.6409 1.8824 5.1255
3.0031 -2.9563 1.1704
3.6409 -1.8824 5.1255
6.0207 0.0000 2.4566
2.5236 0.0000 2.6498
1.8652 4.5419 4.5745
1.8652 -4.5419 4.5745
```

Properties
N(E_F): 0.88 states/eV/atom
Calculated total energy: -23.94 eV per cell
Formation enthalpy at 0 K: -0.062 eV/atom

=====

The following is a DFT calculation (GGA-PBE) of crystalline Ba2SnHg2 at its relaxed geometry.

Geometry as POSCAR:
```
Ba2SnHg2
1.0
5.9454 -3.2656 0.0000
5.9454 3.2656 0.0000
-2.4961 0.0000 8.9760
Ba Sn Hg
4 2 4
Cartesian
1.3922 0.8699 1.3559
0.1442 -0.8699 5.8439
9.2506 0.8699 3.1322
8.0026 -0.8699 7.6202
5.3214 1.0942 2.2440
4.0734 -1.0942 6.7320
3.0992 0.8866 4.5769
5.0476 0.8866 8.8872
4.3472 -0.8866 0.0888
6.2956 -0.8866 4.3992
```

Properties
N(E_F): 0.74 states/eV/atom
Calculated total energy: -22.12 eV per cell
Formation enthalpy at 0 K: -0.522 eV/atom

=====

The following is a DFT calculation (GGA-PBE) of crystalline Ta2SiMo at its relaxed geometry.

Geometry as POSCAR:
```
Ta2SiMo
1.0
-1.9105 1.9105 4.4814
1.9105 -1.9105 4.4814
1.9105 1.9105 -4.4814
Ta Si Mo
2 1 1
Cartesian
0.0000 0.0000 0.0000
0.0000 1.9105 2.2407
0.0000 0.0000 4.4814
1.9105 0.0000 2.2407
```

Properties
N(E_F): 0.67 states/eV/atom
Calculated total energy: -40.40 eV per cell

=====

The following is a DFT calculation (GGA-PBE) of crystalline Ba6CdPtAu at its relaxed geometry.

Geometry as POSCAR:
```
Ba6CdPtAu
1.0
8.2575 0.0000 0.0000
-4.1288 7.1512 0.0000
0.0000 0.0000 7.6944
Ba Cd Pt Au
6 1 1 1
Cartesian
-1.2228 2.4695 1.8038
-2.6015 4.8575 5.8906
1.2228 2.4695 5.8906
-1.3787 6.9754 1.8038
2.6015 4.8575 1.8038
1.3787 6.9754 5.8906
4.1288 2.3837 3.8472
0.0000 4.7675 0.0000
0.0000 0.0000 0.0000
```

Properties
N(E_F): 0.59 states/eV/atom
Calculated total energy: -25.73 eV per cell
Formation enthalpy at 0 K: -0.440 eV/atom

=====

Question: Look up the N(E_F) of the second one.
Answer: 0.74 states/eV/atom